# Hg2Bi PBE-GGA relaxed
# M_tot: 0.000 μB/f.u.
# N(E_F): 0.380 states/eV per atom
# energy relative to the lowest polymorph listed for this composition: 41 meV/atom
# VASP energy: -4.287 eV per formula unit
data_Hg2Bi
_cell_length_a 9.4490
_cell_length_b 6.2831
_cell_length_c 5.7857
_cell_angle_alpha 90.00
_cell_angle_beta 94.53
_cell_angle_gamma 90.00
_symmetry_space_group_name_H-M 'C 1 2/c 1'
_symmetry_Int_Tables_number 15
loop_
_symmetry_equiv_pos_as_xyz
'x,y,z'
'-x,-y,-z'
'-x,y,-z+1/2'
'x,-y,z+1/2'
'x+1/2,y+1/2,z'
'-x+1/2,-y+1/2,-z'
'-x+1/2,y+1/2,-z+1/2'
'x+1/2,-y+1/2,z+1/2'
loop_
_atom_site_label
_atom_site_type_symbol
_atom_site_fract_x
_atom_site_fract_y
_atom_site_fract_z
_atom_site_occupancy
Hg1 Hg 0.1649 0.1134 0.2523 1
Bi1 Bi 0.0000 0.3839 0.7500 1